# TbThHgAu

Crystalline TbThHgAu at its relaxed geometry (PBE-GGA, the Alexandria database).

a = 5.2767 Å, b = 5.2767 Å, c = 5.2767 Å
α = 60.00°, β = 60.00°, γ = 60.00°
With the nearest neighbours (Å) after each atom.
Fractional positions:
1 Tb 0.0000 0.0000 0.0000  4 Hg 3.23, 4 Au 3.23
2 Th 0.5000 0.5000 0.5000  4 Au 3.23, 4 Hg 3.23
3 Hg 0.7500 0.7500 0.7500  4 Th 3.23, 4 Tb 3.23
4 Au 0.2500 0.2500 0.2500  4 Th 3.23, 4 Tb 3.23

Summary:
- E above lowest polymorph (meV/atom) = 44
- symmetry = F-43m (216)
- total energy (eV/cell) = -17.54
- energy of formation from the pure elements (eV/atom) = -0.479
- crystal system = cubic